VASP calculation (PBE-GGA) on Nd2ZnHg6 after structural relaxation.

Structure (CIF):
```
data_Nd2ZnHg6
_chemical_formula_sum 'Nd4 Zn2 Hg12'
_cell_length_a 15.642
_cell_length_b 8.409
_cell_length_c 3.500
_cell_angle_alpha 90.00
_cell_angle_beta 90.24
_cell_angle_gamma 90.00
_space_group_name_H-M_alt 'C 1 2/m 1'
_space_group_IT_number 12
_space_group_name_Hall '-C 2y'
loop_
_atom_site_label
_atom_site_type_symbol
_atom_site_fract_x
_atom_site_fract_y
_atom_site_fract_z
_atom_site_occupancy
Nd1 Nd 0.197 0.000 0.499 1
Zn1 Zn 0.000 0.500 0.000 1
Hg1 Hg 0.000 0.176 0.500 1
Hg2 Hg 0.150 0.318 0.998 1
```

Properties
The value obtained for the energy is -29.0 eV per cell. The value obtained for the magnetization is 0.4 μB/cell.

***

VASP calculation (PBE-GGA) on BeC2 after structural relaxation.

Structure (CIF):
```
data_BeC2
_chemical_formula_sum 'Be2 C4'
_cell_length_a 3.0177
_cell_length_b 3.0177
_cell_length_c 6.8343
_cell_angle_alpha 90.00
_cell_angle_beta 90.00
_cell_angle_gamma 120.00
_space_group_name_H-M_alt 'P 63/m m c'
_space_group_IT_number 194
_space_group_name_Hall '-P 6c 2c'
loop_
_atom_site_label
_atom_site_type_symbol
_atom_site_fract_x
_atom_site_fract_y
_atom_site_fract_z
_atom_site_occupancy
Be1 Be 0.0000 0.0000 0.0000 1
C1 C 0.3333 0.6667 0.1583 1
```

Properties
The value obtained for the energy is -37.3 eV per cell. The polymorph energy (0 for the lowest one) comes out at 795 meV per atom. The value obtained for the magnetization is 0.0 μB/cell.

***

VASP calculation (PBE-GGA) on Th2Ge2Rh5 after structural relaxation.

Structure (CIF):
```
data_Th2Ge2Rh5
_chemical_formula_sum 'Th2 Ge2 Rh5'
_cell_length_a 4.248
_cell_length_b 4.248
_cell_length_c 9.056
_cell_angle_alpha 90.00
_cell_angle_beta 90.00
_cell_angle_gamma 90.00
_space_group_name_H-M_alt 'P 4/m m m'
_space_group_IT_number 123
_space_group_name_Hall '-P 4 2'
loop_
_atom_site_label
_atom_site_type_symbol
_atom_site_fract_x
_atom_site_fract_y
_atom_site_fract_z
_atom_site_occupancy
Th1 Th 0.000 0.000 0.000 1
Th2 Th 0.000 0.000 0.500 1
Ge1 Ge 0.500 0.500 0.142 1
Rh1 Rh 0.000 0.500 0.268 1
Rh2 Rh 0.500 0.500 0.500 1
```

Properties
The value obtained for the energy is -68.8 eV per cell. The polymorph energy (0 for the lowest one) comes out at 0 meV per atom. The value obtained for the magnetization is 0.0 μB/cell.

***

VASP calculation (PBE-GGA) on PmMg2Cd3 after structural relaxation.

Structure (CIF):
```
data_PmMg2Cd3
_chemical_formula_sum 'Pm2 Mg4 Cd6'
_cell_length_a 4.9400
_cell_length_b 4.9400
_cell_length_c 13.5619
_cell_angle_alpha 90.00
_cell_angle_beta 90.00
_cell_angle_gamma 120.00
_space_group_name_H-M_alt 'P 63/m m c'
_space_group_IT_number 194
_space_group_name_Hall '-P 6c 2c'
loop_
_atom_site_label
_atom_site_type_symbol
_atom_site_fract_x
_atom_site_fract_y
_atom_site_fract_z
_atom_site_occupancy
Pm1 Pm 0.0000 0.0000 0.2500 1
Mg1 Mg 0.3333 0.6667 0.0958 1
Cd1 Cd 0.0000 0.0000 0.0000 1
Cd2 Cd 0.3333 0.6667 0.6344 1
```

Properties
The value obtained for the energy is -24.1 eV per cell. The polymorph energy (0 for the lowest one) comes out at 0 meV per atom. The value obtained for the magnetization is 0.0 μB/cell.

***

VASP calculation (PBE-GGA) on Li3TiMn after structural relaxation.

Structure (CIF):
```
data_Li3TiMn
_chemical_formula_sum 'Li3 Ti1 Mn1'
_cell_length_a 4.615
_cell_length_b 4.615
_cell_length_c 4.615
_cell_angle_alpha 90.00
_cell_angle_beta 90.00
_cell_angle_gamma 90.00
_space_group_name_H-M_alt 'P m -3 m'
_space_group_IT_number 221
_space_group_name_Hall '-P 4 2 3'
loop_
_atom_site_label
_atom_site_type_symbol
_atom_site_fract_x
_atom_site_fract_y
_atom_site_fract_z
_atom_site_occupancy
Li1 Li 0.000 0.000 0.500 1
Ti1 Ti 0.500 0.500 0.500 1
Mn1 Mn 0.000 0.000 0.000 1
```

Properties
The value obtained for the energy is -17.6 eV per cell. The polymorph energy (0 for the lowest one) comes out at 0 meV per atom. The value obtained for the magnetization is 6.2 μB/cell.

***

VASP calculation (PBE-GGA) on Ba2TlPdI after structural relaxation.

Structure (CIF):
```
data_Ba2TlPdI
_chemical_formula_sum 'Ba2 Tl1 Pd1 I1'
_cell_length_a 6.296
_cell_length_b 6.296
_cell_length_c 5.231
_cell_angle_alpha 90.00
_cell_angle_beta 90.00
_cell_angle_gamma 90.00
_space_group_name_H-M_alt 'P 4/m m m'
_space_group_IT_number 123
_space_group_name_Hall '-P 4 2'
loop_
_atom_site_label
_atom_site_type_symbol
_atom_site_fract_x
_atom_site_fract_y
_atom_site_fract_z
_atom_site_occupancy
Ba1 Ba 0.000 0.500 0.000 1
Tl1 Tl 0.000 0.000 0.500 1
Pd1 Pd 0.000 0.000 0.000 1
I1 I 0.500 0.500 0.500 1
```

Properties
As for the formation energy from raw total energies: -3.56 eV/f.u. The value obtained for the energy is -16.5 eV per cell. The value obtained for the magnetization is 0.0 μB/cell.

***

VASP calculation (PBE-GGA) on CaSc3O after structural relaxation.

Structure (CIF):
```
data_CaSc3O
_chemical_formula_sum 'Ca1 Sc3 O1'
_cell_length_a 4.686
_cell_length_b 4.686
_cell_length_c 4.686
_cell_angle_alpha 90.00
_cell_angle_beta 90.00
_cell_angle_gamma 90.00
_space_group_name_H-M_alt 'P m -3 m'
_space_group_IT_number 221
_space_group_name_Hall '-P 4 2 3'
loop_
_atom_site_label
_atom_site_type_symbol
_atom_site_fract_x
_atom_site_fract_y
_atom_site_fract_z
_atom_site_occupancy
Ca1 Ca 0.000 0.000 0.000 1
Sc1 Sc 0.000 0.500 0.500 1
O1 O 0.500 0.500 0.500 1
```

Properties
As for the formation energy from raw total energies: -4.47 eV/f.u. The value obtained for the energy is -30.4 eV per cell. The polymorph energy (0 for the lowest one) comes out at 0 meV per atom. The value obtained for the magnetization is 0.0 μB/cell.

***

VASP calculation (PBE-GGA) on BiTeRhI2 after structural relaxation.

Structure (CIF):
```
data_BiTeRhI2
_chemical_formula_sum 'Bi1 Te1 Rh1 I2'
_cell_length_a 5.323
_cell_length_b 5.323
_cell_length_c 5.361
_cell_angle_alpha 90.00
_cell_angle_beta 90.00
_cell_angle_gamma 90.00
_space_group_name_H-M_alt 'P 4/m m m'
_space_group_IT_number 123
_space_group_name_Hall '-P 4 2'
loop_
_atom_site_label
_atom_site_type_symbol
_atom_site_fract_x
_atom_site_fract_y
_atom_site_fract_z
_atom_site_occupancy
Bi1 Bi 0.000 0.000 0.000 1
Te1 Te 0.500 0.500 0.000 1
Rh1 Rh 0.500 0.500 0.500 1
I1 I 0.000 0.500 0.500 1
```

Properties
As for the formation energy from raw total energies: 0.97 eV/f.u. The value obtained for the energy is -16.5 eV per cell. The polymorph energy (0 for the lowest one) comes out at 0 meV per atom. The value obtained for the magnetization is 0.0 μB/cell.